Density functional theory data (PBE-GGA) for a relaxed structure of PaAsPO.

The structure belongs to space group P4/nmm (No. 129, origin choice 2); the cell edges are 3.8600, 3.8600 and 9.7368 Å and the angles 90.00°, 90.00° and 90.00°. The distinct sites, in fractional coordinates, are Pa at (0.2500, 0.2500, 0.1445), As at (0.2500, 0.7500, 0.5000), P at (0.2500, 0.2500, 0.7303) and O at (0.2500, 0.7500, 0.0000).

The electronic total energy comes out at -56.5 eV/cell. The total magnetization comes out at 0.231 μB/atom. The energy above the most stable polymorph in this dataset is 0 meV per atom. Its crystal system is tetragonal.